(1)
A plane-wave DFT calculation with PBE was carried out for a relaxed Pu3TeS2 crystal.

Electronic total energy   -124.07 eV for the cell shown
D(E_F)   39.371 states/eV per cell
Total moment   36.0 Bohr magnetons per cell
E_form (uncorrected)   -1.27 eV per atom
Space-group type   No. 63
Energy above the most stable polymorph in this dataset   18.7 kJ per mole of atoms

Cell lengths 4.387, 7.117, 10.346 Å; angles 90.00, 90.00, 107.95 degrees
Element x y z (fractional)
Pu1 0.638 0.276 0.454
Pu2 0.083 0.167 0.750
S1 0.000 0.000 0.000
Te1 0.244 0.488 0.250
Pu3 0.917 0.833 0.250
S2 0.478 0.957 0.750
Pu4 0.362 0.724 0.954
S3 0.522 0.043 0.250
Pu5 0.638 0.276 0.046
Pu6 0.362 0.724 0.546
Te2 0.756 0.512 0.750
S4 0.000 0.000 0.500



(2)
A plane-wave DFT calculation with PBE was carried out for a relaxed Cr2MoRu crystal.

Electronic total energy   -38.30 eV for the cell shown
D(E_F)   5.509 states/eV per cell
Total moment   0.0 Bohr magnetons per cell
Space-group type   No. 139

Cell lengths 4.604, 4.604, 4.604 Å; angles 131.24, 131.24, 71.43 degrees
Element x y z (fractional)
Cr1 0.500 0.500 0.000
Ru1 0.750 0.250 0.500
Mo1 0.250 0.750 0.500
Cr2 0.000 0.000 0.000



(3)
A plane-wave DFT calculation with PBE was carried out for a relaxed HfIn2Ga crystal.

Electronic total energy   -18.90 eV for the cell shown
D(E_F)   1.710 states/eV per cell
Total moment   0.0 Bohr magnetons per cell
Space-group type   No. 123

Cell lengths 4.806, 4.177, 4.177 Å; angles 90.00, 90.00, 90.00 degrees
Element x y z (fractional)
Hf1 0.500 0.000 0.000
In1 0.000 0.500 0.000
Ga1 0.500 0.500 0.500
In2 0.000 0.000 0.500



(4)
A plane-wave DFT calculation with PBE was carried out for a relaxed CoSn8Pd2 crystal.

Electronic total energy   -50.92 eV for the cell shown
D(E_F)   5.128 states/eV per cell
Total moment   0.0 Bohr magnetons per cell
Space-group type   No. 12

Cell lengths 4.515, 6.877, 8.738 Å; angles 109.32, 104.97, 90.00 degrees
Element x y z (fractional)
Sn1 0.965 0.175 0.930
Sn2 0.666 0.988 0.331
Sn3 0.334 0.012 0.669
Sn4 0.422 0.573 0.844
Sn5 0.781 0.672 0.561
Sn6 0.219 0.328 0.439
Co1 0.500 0.000 0.000
Sn7 0.578 0.427 0.156
Pd1 0.169 0.675 0.338
Pd2 0.831 0.325 0.662
Sn8 0.035 0.825 0.070



(5)
A plane-wave DFT calculation with PBE was carried out for a relaxed BaCa8N4 crystal.

Electronic total energy   -58.60 eV for the cell shown
D(E_F)   7.086 states/eV per cell
Total moment   1.1 Bohr magnetons per cell
E_form (uncorrected)   -0.57 eV per atom
Space-group type   No. 12

Cell lengths 3.665, 9.481, 9.487 Å; angles 87.70, 78.86, 78.85 degrees
Element x y z (fractional)
Ca1 0.226 0.634 0.915
Ca2 0.806 0.370 0.018
N1 0.364 0.823 0.450
Ca3 0.175 0.052 0.599
N2 0.184 0.486 0.146
Ca4 0.474 0.375 0.677
N3 0.847 0.518 0.788
N4 0.668 0.180 0.484
Ca5 0.557 0.628 0.257
Ba1 0.516 0.002 0.967
Ca6 0.849 0.710 0.592
Ca7 0.183 0.293 0.342
Ca8 0.857 0.951 0.335



(6)
A plane-wave DFT calculation with PBE was carried out for a relaxed Y5SbAs4 crystal.

Electronic total energy   -69.62 eV for the cell shown
D(E_F)   0.905 states/eV per cell
Total moment   0.0 Bohr magnetons per cell
E_form (uncorrected)   -1.46 eV per atom
Space-group type   No. 87

Cell lengths 5.922, 7.237, 7.237 Å; angles 80.36, 65.85, 65.85 degrees
Element x y z (fractional)
Y1 0.104 0.587 0.206
As1 0.801 0.803 0.598
Y2 0.898 0.413 0.794
Y3 0.311 0.794 0.587
As2 0.201 0.197 0.402
As3 0.604 0.598 0.197
As4 0.398 0.402 0.803
Sb1 0.001 0.000 0.000
Y4 0.501 0.000 0.000
Y5 0.691 0.206 0.413